(1)
# GGA-PBE BPd, relaxed
# calculated formation energy	382	meV per atom
# E_tot	-5.553	eV per atom
data_BPd
_chemical_formula_sum 'B8 Pd8'
_cell_length_a 7.341
_cell_length_b 7.341
_cell_length_c 4.348
_cell_angle_alpha 90.00
_cell_angle_beta 90.00
_cell_angle_gamma 90.00
_symmetry_space_group_name_H-M 'I 4/m'
_symmetry_Int_Tables_number 87
_symmetry_space_group_name_Hall '-I 4'
loop_
_atom_site_label
_atom_site_fract_x
_atom_site_fract_y
_atom_site_fract_z
B1 0.127 0.693 0.000
Pd1 0.138 0.648 0.500

***

(2)
# GGA-PBE AcNd2Th, relaxed
# calculated formation energy	44	meV per atom
# energy above the lowest structure with this stoichiometry	0	meV per atom
# E_tot	-5.222	eV per atom
data_AcNd2Th
_chemical_formula_sum 'Ac1 Nd2 Th1'
_cell_length_a 3.706
_cell_length_b 3.706
_cell_length_c 10.706
_cell_angle_alpha 90.00
_cell_angle_beta 90.00
_cell_angle_gamma 90.00
_symmetry_space_group_name_H-M 'P 4/m m m'
_symmetry_Int_Tables_number 123
_symmetry_space_group_name_Hall '-P 4 2'
loop_
_atom_site_label
_atom_site_fract_x
_atom_site_fract_y
_atom_site_fract_z
Ac1 0.000 0.000 0.000
Nd1 0.500 0.500 0.273
Th1 0.000 0.000 0.500

***

(3)
# GGA-PBE Na2ZnSnF6, relaxed
# E_tot	-4.374	eV per atom
# uncorrected formation energy	-24.6	eV/f.u.
data_Na2ZnSnF6
_chemical_formula_sum 'Na6 Zn3 Sn3 F18'
_cell_length_a 5.7979
_cell_length_b 5.7979
_cell_length_c 15.2395
_cell_angle_alpha 90.00
_cell_angle_beta 90.00
_cell_angle_gamma 120.00
_symmetry_space_group_name_H-M 'R 3'
_symmetry_Int_Tables_number 146
_symmetry_space_group_name_Hall 'R 3'
loop_
_atom_site_label
_atom_site_fract_x
_atom_site_fract_y
_atom_site_fract_z
Na1 0.0000 0.0000 0.0000
Na2 0.0000 0.0000 0.4932
Zn1 0.0000 0.0000 0.7052
Sn1 0.0000 0.0000 0.2131
F1 0.0062 0.3767 0.4376
F2 0.0571 0.6705 0.2808

***

(4)
# GGA-PBE SrLiCa3, relaxed
# calculated formation energy	146	meV per atom
# energy above the lowest structure with this stoichiometry	46	meV per atom
# E_tot	-1.774	eV per atom
data_SrLiCa3
_chemical_formula_sum 'Sr1 Li1 Ca3'
_cell_length_a 5.995
_cell_length_b 5.995
_cell_length_c 5.995
_cell_angle_alpha 90.00
_cell_angle_beta 90.00
_cell_angle_gamma 90.00
_symmetry_space_group_name_H-M 'P m -3 m'
_symmetry_Int_Tables_number 221
_symmetry_space_group_name_Hall '-P 4 2 3'
loop_
_atom_site_label
_atom_site_fract_x
_atom_site_fract_y
_atom_site_fract_z
Sr1 0.000 0.000 0.000
Li1 0.500 0.500 0.500
Ca1 0.000 0.500 0.500

***

(5)
# GGA-PBE Yb2Br2O, relaxed
# E_tot	-3.427	eV per atom
# uncorrected formation energy	-5.8	eV/f.u.
data_Yb2Br2O
_chemical_formula_sum 'Yb2 Br2 O1'
_cell_length_a 9.012
_cell_length_b 9.012
_cell_length_c 14.220
_cell_angle_alpha 90.00
_cell_angle_beta 90.00
_cell_angle_gamma 90.00
_symmetry_space_group_name_H-M 'P 4/m m m'
_symmetry_Int_Tables_number 123
_symmetry_space_group_name_Hall '-P 4 2'
loop_
_atom_site_label
_atom_site_fract_x
_atom_site_fract_y
_atom_site_fract_z
Yb1 0.000 0.000 0.146
Br1 0.000 0.000 0.336
O1 0.000 0.000 0.000

***

(6)
# GGA-PBE Li2ThSnSe4, relaxed
# E_tot	-4.860	eV per atom
# uncorrected formation energy	-9.7	eV/f.u.
data_Li2ThSnSe4
_chemical_formula_sum 'Li2 Th1 Sn1 Se4'
_cell_length_a 6.862
_cell_length_b 4.231
_cell_length_c 7.385
_cell_angle_alpha 90.00
_cell_angle_beta 110.11
_cell_angle_gamma 90.00
_symmetry_space_group_name_H-M 'P 1 2/m 1'
_symmetry_Int_Tables_number 10
loop_
_symmetry_equiv_pos_as_xyz
'x,y,z'
'-x,-y,-z'
'-x,y,-z'
'x,-y,z'
loop_
_atom_site_label
_atom_site_fract_x
_atom_site_fract_y
_atom_site_fract_z
Li1 0.000 0.000 0.000
Li2 0.000 0.500 0.500
Th1 0.500 0.000 0.500
Sn1 0.500 0.500 0.000
Se1 0.242 0.000 0.736
Se2 0.242 0.500 0.255